Here is a relaxed structure of CaNbTe2 from the Alexandria database. Energies are from PBE.

a = 10.2154 Å, b = 10.2154 Å, c = 10.2154 Å
α = 21.23°, β = 21.23°, γ = 21.23°
Closest atoms and distances in Å follow each position.
Fractional positions:
Te 0.1060 0.1060 0.1060  3 Nb 2.83
Ca 0.0000 0.0000 0.0000  2 Te 3.17
Nb 0.5000 0.5000 0.5000  6 Te 2.83
Te 0.8940 0.8940 0.8940  3 Nb 2.83

Output
The energy above the most stable polymorph in this dataset is 179 meV/atom. The calculation puts the uncorrected formation energy at -0.386 eV/atom.